Record 1
! Ca2NiOs (PBE-GGA, relaxed); values from VASP
&SYSTEM
  ibrav = 0, nat = 4, ntyp = 3
/
ATOMIC_SPECIES
Os 190.23 Os.upf
Ni 58.69 Ni.upf
Ca 40.08 Ca.upf
ATOMIC_POSITIONS angstrom
Os -1.809 -2.015 -1.281
Ni -2.742 0.834 0.867
Ca 0.000 0.000 0.000
Ca -2.958 0.623 -2.113
CELL_PARAMETERS angstrom
-3.891 3.472 0.035
-2.024 -2.226 -4.261
-1.593 -1.803 1.699
! **Magnetization**: 0.57 μB per formula unit
! **Density of states at the Fermi level**: 3.28 states/eV/cell
! **E**: -4.78 eV/atom
! **E above lowest polymorph**: 0.301 eV/atom

Record 2
! Ca2NiOs2 (PBE-GGA, relaxed); values from VASP
&SYSTEM
  ibrav = 0, nat = 10, ntyp = 3
/
ATOMIC_SPECIES
Ni 58.69 Ni.upf
Os 190.23 Os.upf
Ca 40.08 Ca.upf
ATOMIC_POSITIONS angstrom
Ni -3.116 3.206 -0.888
Os -4.090 3.192 -3.230
Os -4.570 5.197 -0.296
Ni 0.000 0.000 0.000
Ca -5.055 2.993 1.831
Ca -3.208 0.365 0.878
Ca -4.599 0.492 -2.167
Os -1.662 1.215 -1.481
Ca -6.445 3.120 -1.214
Os -2.143 3.220 1.453
CELL_PARAMETERS angstrom
-2.689 4.798 3.361
-3.543 1.614 -5.138
-3.422 -2.927 1.440
! **Magnetization**: 0.00 μB per formula unit
! **Density of states at the Fermi level**: 13.72 states/eV/cell
! **E**: -6.15 eV/atom

Record 3
! CaNi2Os (PBE-GGA, relaxed); values from VASP
&SYSTEM
  ibrav = 0, nat = 4, ntyp = 3
/
ATOMIC_SPECIES
Os 190.23 Os.upf
Ni 58.69 Ni.upf
Ca 40.08 Ca.upf
ATOMIC_POSITIONS angstrom
Os 13.173 2.121 1.245
Ni 25.550 4.113 2.416
Ca 19.241 3.097 1.819
Ni 6.500 1.046 0.615
CELL_PARAMETERS angstrom
8.892 0.012 0.007
8.447 2.779 0.007
8.447 1.360 2.423
! **Magnetization**: 0.14 μB per formula unit
! **Density of states at the Fermi level**: 4.63 states/eV/cell
! **E**: -5.64 eV/atom
! **E above lowest polymorph**: 0.354 eV/atom

Which of these has the lowest E? Ca2NiOs2

Among the records above, which one has the lowest E? Ca2NiOs2